(1)
The following is a DFT calculation (GGA-PBE) of SrGdGa4 after structural relaxation.

Lattice parameters (Å, degrees): 8.0144 8.0144 8.0144 90.00 90.00 90.00
Space group F-43m (No. 216)
Asymmetric unit:
Sr1 0.0000 0.0000 0.0000 x4
Gd1 0.2500 0.2500 0.2500 x4
Ga1 0.1245 0.1245 0.6245 x16

Results
total magnetization = 29.139 μB/cell
calculated formation energy = -0.4496 eV per atom

=====

(2)
The following is a DFT calculation (GGA-PBE) of GaP2Pd after structural relaxation.

Lattice parameters (Å, degrees): 6.2905 6.2905 6.2905 90.00 90.00 90.00
Space group Fm-3m (No. 225)
Asymmetric unit:
Ga1 0.0000 0.0000 0.0000 x4
P1 0.2500 0.2500 0.2500 x8
Pd1 0.0000 0.0000 0.5000 x4

Results
total magnetization = 0.000 μB/cell
calculated formation energy = 0.2229 eV per atom

=====

(3)
The following is a DFT calculation (GGA-PBE) of CePuGaSi after structural relaxation.

Lattice parameters (Å, degrees): 7.1061 7.1061 7.1061 90.00 90.00 90.00
Space group F-43m (No. 216)
Asymmetric unit:
Ce1 0.0000 0.0000 0.0000 x4
Pu1 0.0000 0.0000 0.5000 x4
Ga1 0.2500 0.2500 0.2500 x4
Si1 0.2500 0.2500 0.7500 x4

Results
formation energy (no corrections) = -358 meV per atom
total magnetization = 20.938 μB/cell

=====

(4)
The following is a DFT calculation (GGA-PBE) of BaCaP4O12 after structural relaxation.

Lattice parameters (Å, degrees): 7.3742 9.4427 16.9543 90.00 114.71 90.00
Space group P2_1/c (No. 14)
Asymmetric unit:
Ba1 0.1456 0.1112 0.1321 x4
Ca1 0.3469 0.7296 0.8440 x4
P1 0.0801 0.1028 0.3215 x4
P2 0.2835 0.7461 0.5436 x4
P3 0.3090 0.1649 0.9403 x4
P4 0.3089 0.5233 0.1737 x4
O1 0.0234 0.7043 0.2522 x4
O2 0.0761 0.5122 0.1557 x4
O3 0.1530 0.6484 0.5667 x4
O4 0.1877 0.0439 0.8889 x4
O5 0.1921 0.1848 0.4119 x4
O6 0.2194 0.7262 0.9482 x4
O7 0.2229 0.0026 0.3076 x4
O8 0.3018 0.5999 0.0875 x4
O9 0.3718 0.1266 0.6692 x4
O10 0.3853 0.1634 0.0380 x4
O11 0.4233 0.6103 0.2534 x4
O12 0.4909 0.1878 0.9112 x4

Results
formation energy (no corrections) = -2526 meV per atom
total magnetization = 0.300 μB/cell

=====

(5)
The following is a DFT calculation (GGA-PBE) of MgTcO3 after structural relaxation.

Lattice parameters (Å, degrees): 3.7451 3.7451 3.7451 90.00 90.00 90.00
Space group Pm-3m (No. 221)
Asymmetric unit:
Mg1 0.0000 0.0000 0.0000 x1
Tc1 0.5000 0.5000 0.5000 x1
O1 0.0000 0.0000 0.5000 x3

Results
formation energy (no corrections) = -488 meV per atom
total magnetization = 2.989 μB/cell

=====

(6)
The following is a DFT calculation (GGA-PBE) of DyNi3Sn after structural relaxation.

Lattice parameters (Å, degrees): 4.7870 16.6998 4.4554 90.00 90.00 90.00
Space group Cmcm (No. 63)
Asymmetric unit:
Dy1 0.0000 0.0833 0.2500 x4
Ni1 0.0000 0.5000 0.0000 x4
Ni2 0.2389 0.2805 0.7500 x8
Sn1 0.0000 0.3559 0.2500 x4

Results
total magnetization = 0.000 μB/cell
calculated formation energy = -0.1086 eV per atom

=====

(7)
The following is a DFT calculation (GGA-PBE) of Ce4GaC after structural relaxation.

Lattice parameters (Å, degrees): 7.9462 12.9211 6.3781 90.00 119.86 90.00
Space group C2/c (No. 15)
Asymmetric unit:
Ce1 0.1395 0.2185 0.1907 x8
Ce2 0.2238 0.0646 0.7092 x8
Ga1 0.0000 0.3840 0.7500 x4
C1 0.0000 0.0564 0.2500 x4

Results
total magnetization = 0.016 μB/cell
calculated formation energy = -0.1866 eV per atom

=====

(8)
The following is a DFT calculation (GGA-PBE) of Pr4Tm5Th2 after structural relaxation.

Lattice parameters (Å, degrees): 3.5894 9.4736 10.7696 86.10 89.97 79.18
Space group P-1 (No. 2)
Asymmetric unit:
Pr1 0.0883 0.3235 0.4563 x2
Pr2 0.3610 0.7782 0.8247 x2
Tm1 0.0000 0.5000 0.0000 x1
Tm2 0.2736 0.9516 0.3631 x2
Tm3 0.4520 0.5951 0.2659 x2
Th1 0.1831 0.1342 0.9039 x2

Results
total magnetization = 0.000 μB/cell
calculated formation energy = 0.0326 eV per atom

=====

(9)
The following is a DFT calculation (GGA-PBE) of Sr4Dy3AgTe8 after structural relaxation.

Lattice parameters (Å, degrees): 15.7072 9.0686 9.1017 90.00 125.12 90.00
Space group C2/m (No. 12)
Asymmetric unit:
Sr1 0.0000 0.0000 0.0000 x2
Sr2 0.0000 0.5000 0.0000 x2
Sr3 0.2500 0.2500 0.0000 x4
Dy1 0.0000 0.0000 0.5000 x2
Dy2 0.2500 0.2500 0.5000 x4
Ag1 0.0000 0.5000 0.5000 x2
Te1 0.0080 0.2496 0.2734 x8
Te2 0.2428 0.5000 0.7282 x4
Te3 0.2441 0.0000 0.7308 x4

Results
formation energy (no corrections) = -1383 meV per atom
total magnetization = 0.000 μB/cell

=====

(10)
The following is a DFT calculation (GGA-PBE) of SrCa2Se after structural relaxation.

Lattice parameters (Å, degrees): 6.7994 10.1212 4.1693 90.00 90.00 90.00
Space group Cmmm (No. 65)
Asymmetric unit:
Sr1 0.0000 0.0000 0.0000 x2
Ca1 0.2500 0.2500 0.5000 x4
Se1 0.0000 0.5000 0.0000 x2

Results
formation energy (no corrections) = -421 meV per atom
total magnetization = 0.000 μB/cell

=====

(11)
The following is a DFT calculation (GGA-PBE) of KNbI6 after structural relaxation.

Lattice parameters (Å, degrees): 7.7408 7.7763 8.2928 62.47 62.61 60.32
Space group P-1 (No. 2)
Asymmetric unit:
K1 0.0000 0.0000 0.0000 x1
Nb1 0.5000 0.5000 0.5000 x1
I1 0.1075 0.6842 0.7269 x2
I2 0.3117 0.5176 0.2736 x2
I3 0.4824 0.1069 0.7255 x2

Results
formation energy (no corrections) = -645 meV per atom
total magnetization = 0.000 μB/cell

=====

(12)
The following is a DFT calculation (GGA-PBE) of Hf8MnTc2 after structural relaxation.

Lattice parameters (Å, degrees): 15.5916 4.5978 6.3969 90.00 107.87 90.00
Space group C2/m (No. 12)
Asymmetric unit:
Hf1 0.0211 0.0000 0.2731 x4
Hf2 0.0953 0.5000 0.9497 x4
Hf3 0.1611 0.5000 0.4479 x4
Hf4 0.1965 0.0000 0.7863 x4
Mn1 0.0000 0.5000 0.5000 x2
Tc1 0.1831 0.0000 0.1879 x4

Results
total magnetization = 0.001 μB/cell
calculated formation energy = -0.1046 eV per atom

=====

| no. | ρ (g/cm³) |
| --- | --- |
| 1 | 6.76 |
| 2 | 6.35 |
| 3 | 8.92 |
| 4 | 3.06 |
| 5 | 5.38 |
| 6 | 8.53 |
| 7 | 7.51 |
| 8 | 8.66 |
| 9 | 6.16 |
| 10 | 2.86 |
| 11 | 4.04 |
| 12 | 12.77 |